1.
EuCdRh2 | PBE | relaxed

Cell and atoms, written as POSCAR:
```
EuCdRh2
1.0
3.408 0.000 0.000
0.000 3.408 0.000
0.000 0.000 6.564
Eu Cd Rh
1 1 2
Direct
0.000 0.000 0.000 Eu
0.000 0.000 0.500 Cd
0.500 0.500 0.273 Rh
0.500 0.500 0.727 Rh
```

***

2.
EuCdRh2 | PBE | relaxed

Cell and atoms, written as POSCAR:
```
EuCdRh2
1.0
4.492 0.000 0.000
0.000 4.492 0.000
0.000 0.000 3.723
Eu Cd Rh
1 1 2
Direct
0.000 0.000 0.000 Eu
0.500 0.500 0.000 Cd
0.000 0.500 0.500 Rh
0.500 0.000 0.500 Rh
```

***

3.
EuCdRh4 | PBE | relaxed

Cell and atoms, written as POSCAR:
```
EuCdRh4
1.0
0.000 3.763 3.763
3.763 0.000 3.763
3.763 3.763 0.000
Eu Cd Rh
1 1 4
Direct
0.000 0.000 0.000 Eu
0.750 0.750 0.750 Cd
0.375 0.375 0.375 Rh
0.375 0.375 0.874 Rh
0.375 0.874 0.375 Rh
0.874 0.375 0.375 Rh
```

***

no.,E (eV/cell),energy of formation from the pure elements (eV/atom)
1,-26.6,-0.178
2,-26.8,-0.234
3,-42.0,-0.238